[1]
SrTaTe2, relaxed, DFT PBE; final energy = -5.200 eV/atom; DOS(E_F) = 2.81 states/eV/cell; relative energy among the computed polymorphs = 222 meV per atom; formation energy (no corrections) = -245.5 meV per atom; density = 6.60 g/cm³
1.0
-8.9453 4.2000 3.5920
-7.7441 2.3174 6.7246
-6.3966 5.8393 5.9621
Te Sr Ta
2 1 1
direct
0.1096 0.1096 0.1096
0.8904 0.8904 0.8904
0.0000 0.0000 0.0000
0.5000 0.5000 0.5000

***

[2]
TlSbS2, relaxed, DFT PBE; final energy = -3.601 eV/atom; DOS(E_F) = 1.95 states/eV/cell; formation energy (no corrections) = 85.2 meV per atom; density = 7.17 g/cm³
1.0
-4.1148 -1.1584 2.6660
-3.8641 -2.3467 -2.2234
-1.0069 -4.8083 1.1170
Sb Tl S
1 1 2
direct
0.0000 0.0000 0.0000
0.5000 0.5000 0.5000
0.7500 0.7500 0.7500
0.2500 0.2500 0.2500

***

[3]
BaY2Pt, relaxed, DFT PBE; final energy = -5.588 eV/atom; DOS(E_F) = 4.35 states/eV/cell; relative energy among the computed polymorphs = 172 meV per atom; density = 6.76 g/cm³; energy of formation = -365 meV per atom
1.0
-0.6733 6.2087 -3.1869
-0.2147 0.8678 -6.9540
-2.7028 -2.9442 5.7605
Y Pt Ba
2 1 1
direct
0.7507 0.2507 0.5000
0.0710 0.0710 0.0000
0.2326 0.7326 0.5000
0.4457 0.4457 0.0000

***

[4]
PmHfSbO6, relaxed, DFT PBE; final energy = -8.113 eV/atom; DOS(E_F) = 0.00 states/eV/cell; formation energy (no corrections) = -2715.9 meV per atom; density = 7.05 g/cm³
1.0
5.4072 0.0000 0.0000
-2.7036 4.6828 0.0000
0.0000 0.0000 10.0625
O Sb Pm Hf
12 2 2 2
direct
0.3562 0.9888 0.6397
0.3674 0.0112 0.1397
0.3562 0.3674 0.8603
0.9888 0.3562 0.1397
0.3674 0.3562 0.3603
0.6326 0.6438 0.6397
0.6326 0.9888 0.8603
0.6438 0.6325 0.1397
0.0112 0.3674 0.6397
0.9888 0.6325 0.3603
0.6438 0.0112 0.3603
0.0112 0.6438 0.8603
0.3333 0.6667 0.7500
0.6667 0.3333 0.2500
0.0000 0.0000 0.0000
0.0000 0.0000 0.5000
0.3333 0.6667 0.2500
0.6667 0.3333 0.7500

***

[5]
CaPmMgPd, relaxed, DFT PBE; final energy = -3.728 eV/atom; DOS(E_F) = 2.55 states/eV/cell; density = 5.18 g/cm³; energy of formation = -343 meV per atom
1.0
-4.9454 -0.8759 -1.4663
-1.7201 -4.9042 -0.6036
-3.4224 -2.0101 3.4090
Pd Ca Mg Pm
1 1 1 1
direct
0.5000 0.5000 0.5000
0.2500 0.2500 0.2500
0.0000 0.0000 0.0000
0.7500 0.7500 0.7500

***

[6]
Zr2CuCl, relaxed, DFT PBE; final energy = -6.112 eV/atom; DOS(E_F) = 2.24 states/eV/cell; relative energy among the computed polymorphs = 39 meV per atom; formation energy (no corrections) = -352.6 meV per atom; density = 5.08 g/cm³
1.0
3.1634 0.0000 0.0000
0.0000 3.1634 0.0000
0.0000 0.0000 9.1997
Cu Zr Cl
1 2 1
direct
0.5000 0.5000 0.8166
0.5000 0.5000 0.2491
0.0000 0.0000 0.0004
0.0000 0.0000 0.4340

***

[7]
Rb3Ce3TlSe8, relaxed, DFT PBE; final energy = -4.800 eV/atom; DOS(E_F) = 12.98 states/eV/cell; formation energy (no corrections) = -1403.8 meV per atom; density = 4.82 g/cm³
1.0
-1.2460 -1.2419 -8.5211
-0.0611 -6.7905 5.4410
-7.3794 5.8261 0.2296
Se Rb Ce Tl
8 3 3 1
direct
0.2674 0.5347 0.3022
0.2442 0.9512 0.6955
0.7070 0.9512 0.6955
0.7557 0.5114 0.3045
0.2930 0.0488 0.3045
0.2443 0.4886 0.6955
0.7326 0.4653 0.6978
0.7558 0.0488 0.3045
0.0000 0.5000 0.0000
0.0000 0.0000 0.0000
0.5000 0.5000 0.0000
0.5000 0.5000 0.5000
0.0000 0.5000 0.5000
0.5000 0.0000 0.5000
0.0000 0.0000 0.5000

***

[8]
BiW3Se, relaxed, DFT PBE; final energy = -6.033 eV/atom; DOS(E_F) = 4.48 states/eV/cell; relative energy among the computed polymorphs = 1594 meV per atom; formation energy (no corrections) = 3211.8 meV per atom; density = 10.82 g/cm³
1.0
-4.9314 -1.0509 0.2883
0.9682 -3.6121 3.3943
-0.5001 3.3696 3.7285
W Bi Se
3 1 1
direct
0.5000 0.0000 0.0000
0.0000 0.5000 0.0000
0.0000 0.0000 0.5000
0.0000 0.0000 0.0000
0.5000 0.5000 0.5000